Record 1
DFT (PBE-GGA) results for a relaxed structure of CaAgSeCl.

Cell and atoms, written as CIF:
```
data_CaAgSeCl
_chemical_formula_sum 'Ca2 Ag2 Se2 Cl2'
_symmetry_space_group_name_H-M 'P 1'
_symmetry_Int_Tables_number 1
_cell_length_a 4.3132
_cell_length_b 4.3132
_cell_length_c 13.0680
_cell_angle_alpha 80.50
_cell_angle_beta 80.50
_cell_angle_gamma 60.00
loop_
_symmetry_equiv_pos_as_xyz
'x,y,z'
loop_
_atom_site_label
_atom_site_type_symbol
_atom_site_fract_x
_atom_site_fract_y
_atom_site_fract_z
Ca1 Ca 0.5942 0.5942 0.2173
Ca2 Ca 0.4058 0.4058 0.7827
Ag1 Ag 0.8119 0.8119 0.5644
Ag2 Ag 0.1881 0.1881 0.4356
Se1 Se 0.1153 0.1153 0.6541
Se2 Se 0.8847 0.8847 0.3459
Cl1 Cl 0.7056 0.7056 0.8832
Cl2 Cl 0.2944 0.2944 0.1168
```

As for the space group: R-3m (166). The value obtained for the magnetic moment is 0.00 μB/f.u. The calculation puts the electronic total energy at -3.96 eV/atom.



Record 2
DFT (PBE-GGA) results for a relaxed structure of ZrTiTl2Br.

Cell and atoms, written as CIF:
```
data_ZrTiTl2Br
_chemical_formula_sum 'Zr1 Ti1 Tl2 Br1'
_symmetry_space_group_name_H-M 'P 1'
_symmetry_Int_Tables_number 1
_cell_length_a 5.6926
_cell_length_b 5.6926
_cell_length_c 5.1354
_cell_angle_alpha 90.00
_cell_angle_beta 90.00
_cell_angle_gamma 90.00
loop_
_symmetry_equiv_pos_as_xyz
'x,y,z'
loop_
_atom_site_label
_atom_site_type_symbol
_atom_site_fract_x
_atom_site_fract_y
_atom_site_fract_z
Tl1 Tl 0.0000 0.5000 0.0000
Tl2 Tl 0.5000 0.0000 0.0000
Br1 Br 0.0000 0.0000 0.5000
Zr1 Zr 0.0000 0.0000 0.0000
Ti1 Ti 0.5000 0.5000 0.5000
```

As for the space group: P4/mmm (123). The value obtained for the magnetic moment is 0.19 μB/f.u. The calculation puts the electronic total energy at -3.81 eV/atom.



Record 3
DFT (PBE-GGA) results for a relaxed structure of SrLi2AuF.

Cell and atoms, written as CIF:
```
data_SrLi2AuF
_chemical_formula_sum 'Sr1 Li2 Au1 F1'
_symmetry_space_group_name_H-M 'P 1'
_symmetry_Int_Tables_number 1
_cell_length_a 4.4369
_cell_length_b 4.4369
_cell_length_c 4.9675
_cell_angle_alpha 90.00
_cell_angle_beta 90.00
_cell_angle_gamma 90.00
loop_
_symmetry_equiv_pos_as_xyz
'x,y,z'
loop_
_atom_site_label
_atom_site_type_symbol
_atom_site_fract_x
_atom_site_fract_y
_atom_site_fract_z
Sr1 Sr 0.0000 0.0000 0.5000
Li1 Li 0.0000 0.5000 0.0000
Li2 Li 0.5000 0.0000 0.0000
Au1 Au 0.5000 0.5000 0.5000
F1 F 0.0000 0.0000 0.0000
```

As for the space group: P4/mmm (123). The value obtained for the magnetic moment is 0.00 μB/f.u. The calculation puts the electronic total energy at -3.45 eV/atom.



Record 4
DFT (PBE-GGA) results for a relaxed structure of Dy5Bi4Rh.

Cell and atoms, written as CIF:
```
data_Dy5Bi4Rh
_chemical_formula_sum 'Dy5 Bi4 Rh1'
_symmetry_space_group_name_H-M 'P 1'
_symmetry_Int_Tables_number 1
_cell_length_a 6.2940
_cell_length_b 7.5938
_cell_length_c 7.5938
_cell_angle_alpha 80.11
_cell_angle_beta 65.52
_cell_angle_gamma 65.52
loop_
_symmetry_equiv_pos_as_xyz
'x,y,z'
loop_
_atom_site_label
_atom_site_type_symbol
_atom_site_fract_x
_atom_site_fract_y
_atom_site_fract_z
Dy1 Dy 0.9232 0.3731 0.8171
Dy2 Dy 0.2963 0.8171 0.6269
Dy3 Dy 0.7403 0.1829 0.3731
Dy4 Dy 0.1134 0.6269 0.1829
Dy5 Dy 0.3975 0.0000 0.0000
Bi1 Bi 0.4297 0.3889 0.7912
Bi2 Bi 0.8186 0.7912 0.6111
Bi3 Bi 0.2210 0.2088 0.3889
Bi4 Bi 0.6098 0.6111 0.2088
Rh1 Rh 0.9606 0.0000 0.0000
```

As for the space group: I4 (79). The value obtained for the magnetic moment is 0.00 μB/f.u. The calculation puts the electronic total energy at -5.32 eV/atom. The formation energy comes out at -0.7364 eV per atom.



Record 5
DFT (PBE-GGA) results for a relaxed structure of LaNiAs2.

Cell and atoms, written as CIF:
```
data_LaNiAs2
_chemical_formula_sum 'La1 Ni1 As2'
_symmetry_space_group_name_H-M 'P 1'
_symmetry_Int_Tables_number 1
_cell_length_a 5.1732
_cell_length_b 5.1732
_cell_length_c 6.0735
_cell_angle_alpha 51.57
_cell_angle_beta 51.57
_cell_angle_gamma 45.26
loop_
_symmetry_equiv_pos_as_xyz
'x,y,z'
loop_
_atom_site_label
_atom_site_type_symbol
_atom_site_fract_x
_atom_site_fract_y
_atom_site_fract_z
As1 As 0.9328 0.9328 0.0647
As2 As 0.5672 0.5672 0.4353
La1 La 0.7500 0.7500 0.7500
Ni1 Ni 0.2500 0.2500 0.2500
```

As for the space group: C2/m (12). The value obtained for the magnetic moment is 0.00 μB/f.u. The calculation puts the electronic total energy at -5.74 eV/atom. The formation energy comes out at -0.7356 eV per atom.



Record 6
DFT (PBE-GGA) results for a relaxed structure of La3TmSe6.

Cell and atoms, written as CIF:
```
data_La3TmSe6
_chemical_formula_sum 'La6 Tm2 Se12'
_symmetry_space_group_name_H-M 'P 1'
_symmetry_Int_Tables_number 1
_cell_length_a 8.6742
_cell_length_b 8.6742
_cell_length_c 8.6742
_cell_angle_alpha 91.53
_cell_angle_beta 91.53
_cell_angle_gamma 91.53
loop_
_symmetry_equiv_pos_as_xyz
'x,y,z'
loop_
_atom_site_label
_atom_site_type_symbol
_atom_site_fract_x
_atom_site_fract_y
_atom_site_fract_z
La1 La 0.4292 0.9215 0.7504
La2 La 0.9215 0.7504 0.4292
La3 La 0.2496 0.5708 0.0785
La4 La 0.7504 0.4292 0.9215
La5 La 0.0785 0.2496 0.5708
La6 La 0.5708 0.0785 0.2496
Tm1 Tm 0.0000 0.0000 0.0000
Tm2 Tm 0.5000 0.5000 0.5000
Se1 Se 0.3067 0.9176 0.0778
Se2 Se 0.0824 0.9222 0.6933
Se3 Se 0.5857 0.8094 0.4579
Se4 Se 0.9222 0.6933 0.0824
Se5 Se 0.4579 0.5857 0.8094
Se6 Se 0.1906 0.5421 0.4143
Se7 Se 0.8094 0.4579 0.5857
Se8 Se 0.5421 0.4143 0.1906
Se9 Se 0.0778 0.3067 0.9176
Se10 Se 0.4143 0.1906 0.5421
Se11 Se 0.9176 0.0778 0.3067
Se12 Se 0.6933 0.0824 0.9222
```

The polymorph energy (0 for the lowest one) is 0 meV per atom. As for the space group: R-3 (148). The value obtained for the magnetic moment is 0.00 μB/f.u. The calculation puts the electronic total energy at -5.99 eV/atom.



Record 7
DFT (PBE-GGA) results for a relaxed structure of CdTc2Se.

Cell and atoms, written as CIF:
```
data_CdTc2Se
_chemical_formula_sum 'Cd1 Tc2 Se1'
_symmetry_space_group_name_H-M 'P 1'
_symmetry_Int_Tables_number 1
_cell_length_a 5.2560
_cell_length_b 5.2560
_cell_length_c 5.0417
_cell_angle_alpha 73.28
_cell_angle_beta 73.28
_cell_angle_gamma 32.91
loop_
_symmetry_equiv_pos_as_xyz
'x,y,z'
loop_
_atom_site_label
_atom_site_type_symbol
_atom_site_fract_x
_atom_site_fract_y
_atom_site_fract_z
Cd1 Cd 0.5029 0.5029 0.5082
Se1 Se 0.7182 0.7182 0.8139
Tc1 Tc 0.0005 0.0005 0.0291
Tc2 Tc 0.2784 0.2784 0.1487
```

The polymorph energy (0 for the lowest one) is 270 meV per atom. As for the space group: Cm (8). The value obtained for the magnetic moment is 0.00 μB/f.u. The calculation puts the electronic total energy at -5.91 eV/atom.



Record 8
DFT (PBE-GGA) results for a relaxed structure of CsCuPt3.

Cell and atoms, written as CIF:
```
data_CsCuPt3
_chemical_formula_sum 'Cs1 Cu1 Pt3'
_symmetry_space_group_name_H-M 'P 1'
_symmetry_Int_Tables_number 1
_cell_length_a 4.8280
_cell_length_b 4.8280
_cell_length_c 4.8280
_cell_angle_alpha 90.00
_cell_angle_beta 90.00
_cell_angle_gamma 90.00
loop_
_symmetry_equiv_pos_as_xyz
'x,y,z'
loop_
_atom_site_label
_atom_site_type_symbol
_atom_site_fract_x
_atom_site_fract_y
_atom_site_fract_z
Cs1 Cs 0.5000 0.5000 0.5000
Cu1 Cu 0.0000 0.0000 0.0000
Pt1 Pt 0.0000 0.5000 0.0000
Pt2 Pt 0.0000 0.0000 0.5000
Pt3 Pt 0.5000 0.0000 0.0000
```

The polymorph energy (0 for the lowest one) is 0 meV per atom. As for the space group: Pm-3m (221). The value obtained for the magnetic moment is 0.00 μB/f.u. The calculation puts the electronic total energy at -3.90 eV/atom. The formation energy comes out at 0.7187 eV per atom.



Record 9
DFT (PBE-GGA) results for a relaxed structure of PmInNi.

Cell and atoms, written as CIF:
```
data_PmInNi
_chemical_formula_sum 'Pm1 In1 Ni1'
_symmetry_space_group_name_H-M 'P 1'
_symmetry_Int_Tables_number 1
_cell_length_a 3.3415
_cell_length_b 3.3415
_cell_length_c 6.2229
_cell_angle_alpha 105.57
_cell_angle_beta 105.57
_cell_angle_gamma 90.00
loop_
_symmetry_equiv_pos_as_xyz
'x,y,z'
loop_
_atom_site_label
_atom_site_type_symbol
_atom_site_fract_x
_atom_site_fract_y
_atom_site_fract_z
Ni1 Ni 0.2944 0.2944 0.5888
Pm1 Pm 0.6359 0.6359 0.2718
In1 In 0.9197 0.9197 0.8394
```

The polymorph energy (0 for the lowest one) is 208 meV per atom. As for the space group: I4mm (107). The value obtained for the magnetic moment is 0.00 μB/f.u. The calculation puts the electronic total energy at -4.68 eV/atom. The formation energy comes out at -0.2576 eV per atom.



Record 10
DFT (PBE-GGA) results for a relaxed structure of AcHfRu4.

Cell and atoms, written as CIF:
```
data_AcHfRu4
_chemical_formula_sum 'Ac1 Hf1 Ru4'
_symmetry_space_group_name_H-M 'P 1'
_symmetry_Int_Tables_number 1
_cell_length_a 5.3816
_cell_length_b 5.3816
_cell_length_c 5.3816
_cell_angle_alpha 60.00
_cell_angle_beta 60.00
_cell_angle_gamma 60.00
loop_
_symmetry_equiv_pos_as_xyz
'x,y,z'
loop_
_atom_site_label
_atom_site_type_symbol
_atom_site_fract_x
_atom_site_fract_y
_atom_site_fract_z
Ru1 Ru 0.6240 0.6240 0.1279
Ru2 Ru 0.6240 0.1279 0.6240
Ru3 Ru 0.6240 0.6240 0.6240
Ru4 Ru 0.1279 0.6240 0.6240
Ac1 Ac 0.0000 0.0000 0.0000
Hf1 Hf 0.2500 0.2500 0.2500
```

As for the space group: F-43m (216). The value obtained for the magnetic moment is 0.00 μB/f.u. The calculation puts the electronic total energy at -8.53 eV/atom. The formation energy comes out at 0.0020 eV per atom.



Record 11
DFT (PBE-GGA) results for a relaxed structure of La5Ho2Er4.

Cell and atoms, written as CIF:
```
data_La5Ho2Er4
_chemical_formula_sum 'La5 Ho2 Er4'
_symmetry_space_group_name_H-M 'P 1'
_symmetry_Int_Tables_number 1
_cell_length_a 3.5425
_cell_length_b 9.2164
_cell_length_c 12.8608
_cell_angle_alpha 111.00
_cell_angle_beta 97.92
_cell_angle_gamma 90.00
loop_
_symmetry_equiv_pos_as_xyz
'x,y,z'
loop_
_atom_site_label
_atom_site_type_symbol
_atom_site_fract_x
_atom_site_fract_y
_atom_site_fract_z
La1 La 0.8534 0.0542 0.7068
La2 La 0.8534 0.6526 0.7068
La3 La 0.1466 0.3474 0.2932
La4 La 0.1466 0.9458 0.2932
La5 La 0.5000 0.0000 0.0000
Ho1 Ho 0.2698 0.2698 0.5396
Ho2 Ho 0.7302 0.7302 0.4604
Er1 Er 0.0000 0.3176 0.0000
Er2 Er 0.5962 0.5962 0.1924
Er3 Er 0.0000 0.6824 0.0000
Er4 Er 0.4038 0.4038 0.8076
```

The polymorph energy (0 for the lowest one) is 150 meV per atom. As for the space group: Immm (71). The value obtained for the magnetic moment is 0.00 μB/f.u. The calculation puts the electronic total energy at -4.55 eV/atom. The formation energy comes out at 0.1817 eV per atom.



Record 12
DFT (PBE-GGA) results for a relaxed structure of Cs2PdClF6.

Cell and atoms, written as CIF:
```
data_Cs2PdClF6
_chemical_formula_sum 'Cs2 Pd1 Cl1 F6'
_symmetry_space_group_name_H-M 'P 1'
_symmetry_Int_Tables_number 1
_cell_length_a 6.4971
_cell_length_b 6.4971
_cell_length_c 6.7657
_cell_angle_alpha 61.30
_cell_angle_beta 61.30
_cell_angle_gamma 90.00
loop_
_symmetry_equiv_pos_as_xyz
'x,y,z'
loop_
_atom_site_label
_atom_site_type_symbol
_atom_site_fract_x
_atom_site_fract_y
_atom_site_fract_z
Cs1 Cs 0.7500 0.2500 0.5000
Cs2 Cs 0.2500 0.7500 0.5000
F1 F 0.1977 0.1977 0.6046
F2 F 0.8023 0.8023 0.3954
F3 F 0.2148 0.2148 0.0000
F4 F 0.7852 0.7852 0.0000
F5 F 0.7852 0.2148 0.0000
F6 F 0.2148 0.7852 0.0000
Pd1 Pd 0.0000 0.0000 0.0000
Cl1 Cl 0.5000 0.5000 0.0000
```

As for the space group: I4/mmm (139). The value obtained for the magnetic moment is 1.18 μB/f.u. The calculation puts the electronic total energy at -3.77 eV/atom.